[1]
The following is a DFT calculation (PBE) of crystalline LaPr at its relaxed geometry.

Its total energy is -4.84 eV/atom. The value obtained for the formation enthalpy at 0 K is 0.017 eV per atom.

The structure belongs to space group Fddd (No. 70, origin choice 2); the cell edges are 7.4384, 7.4464 and 10.5793 Å and the angles 90.00°, 90.00° and 90.00°. The distinct sites, in fractional coordinates, are La at (0.1250, 0.1250, 0.1250) and Pr at (0.1250, 0.1250, 0.6250).

[2]
The following is a DFT calculation (PBE) of crystalline BaCdAg2F6 at its relaxed geometry.

Its total energy is -4.13 eV/atom. The energy relative to the elements, uncorrected comes out at -2158 meV/atom.

The structure belongs to space group P2_1/c (No. 14); the cell edges are 6.1931, 6.3879 and 10.8388 Å and the angles 90.00°, 123.57° and 90.00°. The distinct sites, in fractional coordinates, are Ba at (0.0000, 0.0000, 0.0000), Cd at (0.5000, 0.0000, 0.5000), Ag at (0.2579, 0.0549, 0.7471), F at (0.1346, 0.1071, 0.2721), F at (0.2629, 0.6594, 0.0682) and F at (0.4326, 0.2015, 0.0877).

[3]
The following is a DFT calculation (PBE) of crystalline Al4SiPd10 at its relaxed geometry.

Its total energy is -5.50 eV/atom. The energy relative to the elements, uncorrected comes out at -677 meV/atom.

The structure belongs to space group R-3m (No. 166, hexagonal axes); the cell edges are 4.0755, 4.0755 and 51.0224 Å and the angles 90.00°, 90.00° and 120.00°. The distinct sites, in fractional coordinates, are Al at (0.0000, 0.0000, 0.1006), Al at (0.0000, 0.0000, 0.2997), Si at (0.0000, 0.0000, 0.5000), Pd at (0.0000, 0.0000, 0.0509), Pd at (0.0000, 0.0000, 0.1512), Pd at (0.0000, 0.0000, 0.2494), Pd at (0.0000, 0.0000, 0.3498) and Pd at (0.0000, 0.0000, 0.4522).

[4]
The following is a DFT calculation (PBE) of crystalline Np3Pa2MoN6 at its relaxed geometry.

Its total energy is -11.05 eV/atom. The energy relative to the elements, uncorrected comes out at -1162 meV/atom.

The structure belongs to space group C2/m (No. 12); the cell edges are 5.9004, 10.2169 and 5.8810 Å and the angles 90.00°, 109.62° and 90.00°. The distinct sites, in fractional coordinates, are Np at (0.0000, 0.0000, 0.0000), Np at (0.0000, 0.3344, 0.0000), Pa at (0.0000, 0.1665, 0.5000), Mo at (0.0000, 0.5000, 0.5000), N at (0.2380, 0.5000, 0.2587) and N at (0.2389, 0.3405, 0.7383).